A geometry-optimized Cr2HgW structure, computed with PBE-GGA.

Lattice parameters (Å, degrees): 9.1989 2.8561 5.0625 90.00 98.98 90.00
Space group C2/m (No. 12)
Unique sites:
Cr: 0.2476 0.0000 0.3370 x4
Hg: 0.0000 0.5000 0.0000 x2
W: 0.0000 0.0000 0.5000 x2

Computed properties:
- energy of formation from the pure elements (eV per atom) = 0.65
- N(E_F) (states/eV per cell) = 7.46
- V (Å³ per atom) = 16.4
- energy (eV per cell) = -59.77